A plane-wave DFT calculation with PBE was carried out for crystalline P3C at its relaxed geometry.

Geometry as POSCAR:
```
P3C
1.0
-1.891 0.676 -2.075
-1.097 -2.501 0.185
-4.933 2.565 5.445
P C
3 1
Direct
0.919 0.000 0.847
0.901 0.000 0.567
0.428 0.500 0.152
0.425 0.000 0.996
```

Values from the calculation:
ΔE to the lowest computed polymorph ... 0.46 eV/f.u.
Energy relative to the elements ... 523 meV per atom
V ... 61.5 Å³ per cell
Space-group type ... Pm (6)
Magnetization ... 0.00 Bohr magnetons per cell